Here is a geometry-optimized Pm3CoI structure from the Alexandria database. Energies are from PBE.

Computed properties:
Its density of states at the Fermi level is 7.88 states/eV per cell. The value obtained for the uncorrected formation energy is -353.1 meV/atom.

a b c (Å): 3.858 9.514 8.518
angles (deg): 90.00 90.00 90.00
Space group Pmmn (No. 59, origin choice 2)
Symmetry-distinct sites (fractional):
Pm 0.250 0.075 0.155 (multiplicity 4)
Pm 0.250 0.250 0.777 (multiplicity 2)
Co 0.250 0.750 0.008 (multiplicity 2)
I 0.250 0.750 0.559 (multiplicity 2)

Here is a geometry-optimized Pu4ZnGa structure from the Alexandria database. Energies are from PBE.

Computed properties:
Its density of states at the Fermi level is 22.63 states/eV per cell. The calculation puts the formation energy from the elements at 323 meV/atom.

a b c (Å): 4.334 7.136 7.549
angles (deg): 90.00 90.00 90.00
Space group Immm (No. 71)
Symmetry-distinct sites (fractional):
Pu 0.000 0.170 0.249 (multiplicity 8)
Zn 0.000 0.500 0.000 (multiplicity 2)
Ga 0.000 0.500 0.500 (multiplicity 2)

Here is a geometry-optimized SrLaNb2P structure from the Alexandria database. Energies are from PBE.

Computed properties:
Its density of states at the Fermi level is 8.02 states/eV per cell. The calculation puts the formation energy from the elements at 1229 meV/atom.

a b c (Å): 5.043 5.043 5.793
angles (deg): 90.00 90.00 90.00
Space group P4/mmm (No. 123)
Symmetry-distinct sites (fractional):
Sr 0.000 0.000 0.000 (multiplicity 1)
La 0.500 0.500 0.500 (multiplicity 1)
Nb 0.000 0.500 0.500 (multiplicity 2)
P 0.500 0.500 0.000 (multiplicity 1)

Here is a geometry-optimized AsIr2Pb structure from the Alexandria database. Energies are from PBE.

Computed properties:
Its density of states at the Fermi level is 2.05 states/eV per cell. The calculation puts the formation energy from the elements at 197 meV/atom.

a b c (Å): 3.028 3.028 8.654
angles (deg): 90.00 90.00 90.00
Space group P4mm (No. 99)
Symmetry-distinct sites (fractional):
As 0.000 0.000 0.000 (multiplicity 1)
Ir 0.000 0.000 0.382 (multiplicity 1)
Ir 0.500 0.500 0.166 (multiplicity 1)
Pb 0.500 0.500 0.614 (multiplicity 1)

Here is a geometry-optimized Tb7Nd12Tl structure from the Alexandria database. Energies are from PBE.

Computed properties:
Its density of states at the Fermi level is 96.75 states/eV per cell. The calculation puts the formation energy from the elements at 153 meV/atom.

a b c (Å): 12.3111 12.3111 15.5110
angles (deg): 90.00 90.00 120.00
Space group R-3 (No. 148, hexagonal axes)
Symmetry-distinct sites (fractional):
Tb 0.0000 0.0000 0.0000 (multiplicity 3)
Tb 0.0519 0.8670 0.3025 (multiplicity 18)
Nd 0.0288 0.5801 0.2119 (multiplicity 18)
Nd 0.0578 0.4686 0.5838 (multiplicity 18)
Tl 0.0000 0.0000 0.5000 (multiplicity 3)

Here is a geometry-optimized Sc5Tl2Cd2Ag structure from the Alexandria database. Energies are from PBE.

Computed properties:
Its density of states at the Fermi level is 16.50 states/eV per cell. The calculation puts the formation energy from the elements at -70 meV/atom.

a b c (Å): 12.043 12.043 3.302
angles (deg): 90.00 90.00 90.00
Space group P4/mbm (No. 127)
Symmetry-distinct sites (fractional):
Sc 0.000 0.500 0.000 (multiplicity 2)
Sc 0.002 0.199 0.000 (multiplicity 8)
Tl 0.163 0.337 0.500 (multiplicity 4)
Cd 0.157 0.657 0.500 (multiplicity 4)
Ag 0.000 0.000 0.500 (multiplicity 2)